RbAg2Rh | SCAN | PBEsol geometry

Output
symmetry: Fm-3m (225)
formation enthalpy at 0 K: 0.778 eV/atom
total magnetization: 0.00 μB per atom

a b c (Å): 4.864 4.864 4.864
angles (deg): 60.00 60.00 60.00
Element x y z (fractional)
Rb1 0.000 0.000 0.000
Ag1 0.250 0.250 0.250
Ag2 0.750 0.750 0.750
Rh1 0.500 0.500 0.500


RbTcAgRu2 | SCAN | PBEsol geometry

Output
symmetry: P4/mmm (123)
formation enthalpy at 0 K: 3.175 eV/atom
total magnetization: 1.05 μB per atom

a b c (Å): 4.606 4.606 4.645
angles (deg): 90.00 90.00 90.00
Element x y z (fractional)
Rb1 0.000 0.000 0.000
Tc1 0.000 0.000 0.500
Ag1 0.500 0.500 0.500
Ru1 0.000 0.500 0.000
Ru2 0.500 0.000 0.000


RbAg2S2 | SCAN | PBEsol geometry

Output
ΔE_f (raw): -0.40 eV per atom
symmetry: I4/mmm (139)
total magnetization: 0.00 μB per atom

a b c (Å): 6.397 6.397 6.397
angles (deg): 134.57 134.57 66.20
Element x y z (fractional)
Rb1 0.000 0.000 0.000
Ag1 0.297 0.297 0.000
Ag2 0.703 0.703 0.000
S1 0.250 0.750 0.500
S2 0.750 0.250 0.500


RbAg3S2 | SCAN | PBEsol geometry

Output
ΔE_f (raw): -0.47 eV per atom
symmetry: C2/m (12)
total magnetization: 0.00 μB per atom

a b c (Å): 8.146 8.146 8.690
angles (deg): 113.28 113.28 30.00
Element x y z (fractional)
Rb1 0.135 0.135 0.043
Rb2 0.865 0.865 0.957
Ag1 0.059 0.059 0.401
Ag2 0.312 0.312 0.585
Ag3 0.405 0.405 0.351
Ag4 0.595 0.595 0.649
Ag5 0.688 0.688 0.415
Ag6 0.941 0.941 0.599
S1 0.195 0.195 0.702
S2 0.481 0.481 0.780
S3 0.519 0.519 0.220
S4 0.805 0.805 0.298


Rb2AgS2 | SCAN | PBEsol geometry

Output
ΔE_f (raw): -0.65 eV per atom
symmetry: I4/mmm (139)
total magnetization: 0.20 μB per atom

a b c (Å): 7.091 7.091 7.091
angles (deg): 125.97 125.97 79.93
Element x y z (fractional)
Rb1 0.250 0.750 0.500
Rb2 0.750 0.250 0.500
Ag1 0.000 0.000 0.000
S1 0.207 0.207 0.000
S2 0.793 0.793 0.000


Rb2AgSbS4 | SCAN | PBEsol geometry

Output
ΔE_f (raw): -0.75 eV per atom
symmetry: P2_1/c (14)
total magnetization: 0.00 μB per atom

a b c (Å): 8.148 10.734 12.794
angles (deg): 90.00 126.77 90.00
Element x y z (fractional)
Rb1 0.112 0.011 0.233
Rb2 0.112 0.489 0.733
Rb3 0.362 0.730 0.504
Rb4 0.362 0.770 0.004
Rb5 0.638 0.230 0.996
Rb6 0.638 0.270 0.496
Rb7 0.888 0.511 0.267
Rb8 0.888 0.989 0.767
Ag1 0.350 0.530 0.226
Ag2 0.350 0.970 0.726
Ag3 0.650 0.030 0.274
Ag4 0.650 0.470 0.774
Sb1 0.184 0.222 0.539
Sb2 0.184 0.278 0.039
Sb3 0.816 0.722 0.961
Sb4 0.816 0.778 0.461
S1 0.148 0.725 0.161
S2 0.148 0.775 0.661
S3 0.172 0.179 0.716
S4 0.172 0.321 0.216
S5 0.320 0.075 0.059
S6 0.320 0.425 0.559
S7 0.392 0.064 0.549
S8 0.392 0.436 0.049
S9 0.608 0.564 0.951
S10 0.608 0.936 0.451
S11 0.680 0.575 0.441
S12 0.680 0.925 0.941
S13 0.828 0.679 0.784
S14 0.828 0.821 0.284
S15 0.852 0.225 0.339
S16 0.852 0.275 0.839


Rb2VAgS4 | SCAN | PBEsol geometry

Output
ΔE_f (raw): -1.12 eV per atom
symmetry: Fddd (70)
total magnetization: 0.00 μB per atom

a b c (Å): 13.252 11.821 7.219
angles (deg): 84.54 62.62 32.84
Element x y z (fractional)
Rb1 0.055 0.055 0.695
Rb2 0.305 0.305 0.945
Rb3 0.695 0.695 0.055
Rb4 0.945 0.945 0.305
V1 0.125 0.125 0.125
V2 0.875 0.875 0.875
Ag1 0.375 0.375 0.375
Ag2 0.625 0.625 0.625
S1 0.071 0.290 0.374
S2 0.236 0.626 0.710
S3 0.290 0.071 0.764
S4 0.374 0.764 0.071
S5 0.626 0.236 0.929
S6 0.710 0.929 0.236
S7 0.764 0.374 0.290
S8 0.929 0.710 0.626


RbAg2Sb2 | SCAN | PBEsol geometry

Output
ΔE_f (raw): -0.23 eV per atom
symmetry: I4/mmm (139)
total magnetization: 0.00 μB per atom

a b c (Å): 6.690 6.690 6.690
angles (deg): 137.82 137.82 61.18
Element x y z (fractional)
Rb1 0.000 0.000 0.000
Ag1 0.250 0.750 0.500
Ag2 0.750 0.250 0.500
Sb1 0.375 0.375 0.000
Sb2 0.625 0.625 0.000


Rb2ZrAgSb | SCAN | PBEsol geometry

Output
ΔE_f (raw): 0.42 eV per atom
symmetry: P4/mmm (123)
total magnetization: 0.40 μB per atom

a b c (Å): 6.844 6.844 5.495
angles (deg): 90.00 90.00 90.00
Element x y z (fractional)
Rb1 0.000 0.500 0.000
Rb2 0.500 0.000 0.000
Zr1 0.000 0.000 0.500
Ag1 0.500 0.500 0.500
Sb1 0.000 0.000 0.000


Rb2ZrScAg | SCAN | PBEsol geometry

Output
symmetry: P4/mmm (123)
formation enthalpy at 0 K: 1.488 eV/atom
total magnetization: 0.80 μB per atom

a b c (Å): 6.447 6.447 4.959
angles (deg): 90.00 90.00 90.00
Element x y z (fractional)
Rb1 0.000 0.500 0.000
Rb2 0.500 0.000 0.000
Zr1 0.000 0.000 0.500
Sc1 0.500 0.500 0.000
Ag1 0.500 0.500 0.500


RbAg2Se2 | SCAN | PBEsol geometry

Output
ΔE_f (raw): -0.51 eV per atom
symmetry: I4/mmm (139)
total magnetization: 0.00 μB per atom

a b c (Å): 7.218 7.218 7.218
angles (deg): 145.05 145.05 50.26
Element x y z (fractional)
Rb1 0.000 0.000 0.000
Ag1 0.250 0.750 0.500
Ag2 0.750 0.250 0.500
Se1 0.369 0.369 0.000
Se2 0.631 0.631 0.000


RbAgSe4 | SCAN | PBEsol geometry

Output
ΔE_f (raw): -0.46 eV per atom
symmetry: P2_12_12_1 (19)
total magnetization: 0.00 μB per atom

a b c (Å): 5.699 8.740 13.221
angles (deg): 90.00 90.00 90.00
Element x y z (fractional)
Rb1 0.168 0.050 0.336
Rb2 0.332 0.950 0.836
Rb3 0.668 0.450 0.664
Rb4 0.832 0.550 0.164
Ag1 0.038 0.127 0.067
Ag2 0.462 0.873 0.567
Ag3 0.538 0.373 0.933
Ag4 0.962 0.627 0.433
Se1 0.104 0.586 0.930
Se2 0.130 0.685 0.612
Se3 0.142 0.367 0.819
Se4 0.199 0.853 0.099
Se5 0.301 0.147 0.599
Se6 0.358 0.633 0.319
Se7 0.370 0.315 0.112
Se8 0.396 0.414 0.430
Se9 0.604 0.914 0.070
Se10 0.630 0.815 0.388
Se11 0.642 0.133 0.181
Se12 0.699 0.647 0.901
Se13 0.801 0.353 0.401
Se14 0.858 0.867 0.681
Se15 0.870 0.185 0.888
Se16 0.896 0.086 0.570